DFT (PBE) results for a relaxed structure of LiReTe2.

a = 3.064 Å, b = 3.064 Å, c = 10.413 Å
α = 90.00°, β = 90.00°, γ = 113.08°
Sites, in units of the cell vectors:
Li (0.000, 0.000, 0.000)
Re (0.500, 0.500, 0.786)
Te (0.000, 0.000, 0.589)
Te (0.500, 0.500, 0.225)

Properties
Energy relative to the elements, uncorrected = 443 meV/atom
Relative energy among the computed polymorphs = 1.64 eV/f.u.
Space-group type = Cmm2 (35)
Calculated volume = 89.9 Å³/cell

=====

DFT (PBE) results for a relaxed structure of AlFe3.

a = 4.901 Å, b = 4.901 Å, c = 4.204 Å
α = 90.00°, β = 90.00°, γ = 92.56°
Sites, in units of the cell vectors:
Al (0.096, 0.904, 0.750)
Al (0.904, 0.096, 0.250)
Fe (0.082, 0.585, 0.250)
Fe (0.415, 0.918, 0.250)
Fe (0.437, 0.563, 0.750)
Fe (0.563, 0.437, 0.250)
Fe (0.585, 0.082, 0.750)
Fe (0.918, 0.415, 0.750)

Properties
Space-group type = Cmcm (63)
Energy = -56.5 eV for the cell shown
Calculated volume = 100.9 Å³/cell

=====

DFT (PBE) results for a relaxed structure of MnCu2Sb.

a = 9.550 Å, b = 9.550 Å, c = 9.550 Å
α = 156.67°, β = 156.67°, γ = 33.23°
Sites, in units of the cell vectors:
Mn (0.000, 0.000, 0.000)
Mn (0.750, 0.250, 0.500)
Cu (0.105, 0.625, 0.980)
Cu (0.375, 0.355, 0.480)
Cu (0.645, 0.125, 0.020)
Cu (0.875, 0.895, 0.520)
Sb (0.250, 0.750, 0.500)
Sb (0.500, 0.500, 0.000)

Properties
Energy relative to the elements, uncorrected = 307 meV/atom
Space-group type = I-42d (122)
Calculated volume = 136.5 Å³/cell

=====

DFT (PBE) results for a relaxed structure of MgInHg.

a = 5.026 Å, b = 5.026 Å, c = 3.323 Å
α = 90.00°, β = 90.00°, γ = 120.00°
Sites, in units of the cell vectors:
Mg (0.000, 0.000, 0.000)
In (0.667, 0.333, 0.544)
Hg (0.333, 0.667, 0.248)

Properties
Space-group type = P3m1 (156)
Energy = -4.8 eV for the cell shown
Calculated volume = 72.7 Å³/cell

=====

DFT (PBE) results for a relaxed structure of Re3TcHg.

a = 4.778 Å, b = 4.778 Å, c = 4.778 Å
α = 90.00°, β = 90.00°, γ = 90.00°
Sites, in units of the cell vectors:
Re (0.000, 0.000, 0.500)
Re (0.000, 0.500, 0.000)
Re (0.500, 0.000, 0.000)
Tc (0.500, 0.500, 0.500)
Hg (0.000, 0.000, 0.000)

Properties
Relative energy among the computed polymorphs = 7.28 eV/f.u.
Space-group type = Pm-3m (221)
Calculated volume = 109.1 Å³/cell